1.
! Ba2SnPb3 (PBE, optimized geometry); values from VASP
! * E: -21.519 eV/f.u.
! * total moment: 0.00 μB/f.u.
! * ΔE to the lowest computed polymorph: 39 meV per atom
&SYSTEM
  ibrav = 0, nat = 12, ntyp = 3
/
ATOMIC_SPECIES
Ba 137.33 Ba.upf
Sn 118.71 Sn.upf
Pb 207.20 Pb.upf
ATOMIC_POSITIONS crystal
Ba 0.248 0.752 0.752
Ba 0.250 0.250 0.250
Ba 0.750 0.750 0.750
Ba 0.752 0.248 0.248
Sn 0.330 0.330 0.670
Sn 0.670 0.670 0.330
Pb 0.172 0.663 0.337
Pb 0.174 0.174 0.826
Pb 0.337 0.828 0.172
Pb 0.663 0.172 0.828
Pb 0.826 0.826 0.174
Pb 0.828 0.337 0.663
CELL_PARAMETERS angstrom
0.000 4.944 9.719
4.902 0.000 9.719
4.902 4.944 0.000



2.
! BaSn3Pb3 (PBE, optimized geometry); values from VASP
! * E: -24.421 eV/f.u.
! * total moment: 0.00 μB/f.u.
! * ΔE to the lowest computed polymorph: 211 meV per atom
&SYSTEM
  ibrav = 0, nat = 14, ntyp = 3
/
ATOMIC_SPECIES
Ba 137.33 Ba.upf
Sn 118.71 Sn.upf
Pb 207.20 Pb.upf
ATOMIC_POSITIONS crystal
Ba 0.000 0.000 0.000
Ba 0.500 0.500 0.500
Sn 0.000 0.250 0.500
Sn 0.000 0.750 0.500
Sn 0.250 0.500 0.000
Sn 0.500 0.000 0.250
Sn 0.500 0.000 0.750
Sn 0.750 0.500 0.000
Pb 0.000 0.500 0.250
Pb 0.000 0.500 0.750
Pb 0.250 0.000 0.500
Pb 0.500 0.250 0.000
Pb 0.500 0.750 0.000
Pb 0.750 0.000 0.500
CELL_PARAMETERS angstrom
8.397 0.000 0.000
0.000 8.397 0.000
0.000 0.000 8.397



3.
! BaSnPb3 (PBE, optimized geometry); values from VASP
! * E: -16.647 eV/f.u.
! * total moment: 0.00 μB/f.u.
! * ΔE to the lowest computed polymorph: 346 meV per atom
&SYSTEM
  ibrav = 0, nat = 5, ntyp = 3
/
ATOMIC_SPECIES
Ba 137.33 Ba.upf
Sn 118.71 Sn.upf
Pb 207.20 Pb.upf
ATOMIC_POSITIONS crystal
Ba 0.000 0.000 0.000
Sn 0.500 0.500 0.500
Pb 0.000 0.500 0.500
Pb 0.500 0.000 0.500
Pb 0.500 0.500 0.000
CELL_PARAMETERS angstrom
5.887 0.000 0.000
0.000 5.887 0.000
0.000 0.000 5.887



4.
! BaSn2Pb (PBE, optimized geometry); values from VASP
! * E: -14.595 eV/f.u.
! * total moment: 0.00 μB/f.u.
&SYSTEM
  ibrav = 0, nat = 8, ntyp = 3
/
ATOMIC_SPECIES
Ba 137.33 Ba.upf
Sn 118.71 Sn.upf
Pb 207.20 Pb.upf
ATOMIC_POSITIONS crystal
Ba 0.000 0.000 0.000
Ba 0.750 0.250 0.500
Sn 0.169 0.625 0.044
Sn 0.375 0.419 0.544
Sn 0.581 0.125 0.956
Sn 0.875 0.831 0.456
Pb 0.250 0.750 0.500
Pb 0.500 0.500 0.000
CELL_PARAMETERS angstrom
-4.499 4.499 3.539
4.499 -4.499 3.539
4.499 4.499 -3.539



5.
! Ba5Sn2Pb (PBE, optimized geometry); values from VASP
! * E: -26.160 eV/f.u.
! * total moment: 0.07 μB/f.u.
&SYSTEM
  ibrav = 0, nat = 16, ntyp = 3
/
ATOMIC_SPECIES
Ba 137.33 Ba.upf
Sn 118.71 Sn.upf
Pb 207.20 Pb.upf
ATOMIC_POSITIONS crystal
Ba 0.000 0.000 0.000
Ba 0.037 0.537 0.856
Ba 0.180 0.037 0.500
Ba 0.320 0.820 0.856
Ba 0.463 0.320 0.500
Ba 0.500 0.500 0.000
Ba 0.537 0.680 0.500
Ba 0.680 0.180 0.144
Ba 0.820 0.963 0.500
Ba 0.963 0.463 0.144
Sn 0.116 0.384 0.500
Sn 0.384 0.884 0.269
Sn 0.616 0.116 0.731
Sn 0.884 0.616 0.500
Pb 0.250 0.250 0.000
Pb 0.750 0.750 0.000
CELL_PARAMETERS angstrom
-4.532 4.532 8.763
4.532 -4.532 8.763
4.532 4.532 -8.763



6.
! Ba5SnPb2 (PBE, optimized geometry); values from VASP
! * E: -25.488 eV/f.u.
! * total moment: 0.13 μB/f.u.
&SYSTEM
  ibrav = 0, nat = 16, ntyp = 3
/
ATOMIC_SPECIES
Ba 137.33 Ba.upf
Sn 118.71 Sn.upf
Pb 207.20 Pb.upf
ATOMIC_POSITIONS crystal
Ba 0.000 0.000 0.000
Ba 0.033 0.533 0.855
Ba 0.178 0.033 0.500
Ba 0.322 0.822 0.855
Ba 0.467 0.322 0.500
Ba 0.500 0.500 0.000
Ba 0.533 0.678 0.500
Ba 0.678 0.178 0.145
Ba 0.822 0.967 0.500
Ba 0.967 0.467 0.145
Sn 0.250 0.250 0.000
Sn 0.750 0.750 0.000
Pb 0.120 0.380 0.500
Pb 0.380 0.880 0.260
Pb 0.620 0.120 0.740
Pb 0.880 0.620 0.500
CELL_PARAMETERS angstrom
-4.558 4.558 8.709
4.558 -4.558 8.709
4.558 4.558 -8.709



| no. | formation enthalpy at 0 K (eV/atom) |
| --- | --- |
| 1 | -0.42 |
| 2 | 0.09 |
| 3 | 0.08 |
| 4 | -0.24 |
| 5 | -0.60 |
| 6 | -0.56 |